# Y2InMoN, relaxed, DFT PBE
data_Y2InMoN
_cell_length_a 4.9414
_cell_length_b 4.9414
_cell_length_c 4.0606
_cell_angle_alpha 90.00
_cell_angle_beta 90.00
_cell_angle_gamma 90.00
_space_group_name_H-M_alt 'P 4/m m m'
_space_group_IT_number 123
_space_group_name_Hall '-P 4 2'
loop_
_atom_site_label
_atom_site_type_symbol
_atom_site_fract_x
_atom_site_fract_y
_atom_site_fract_z
Y1 Y 0.0000 0.5000 0.0000
In1 In 0.0000 0.0000 0.5000
Mo1 Mo 0.5000 0.5000 0.5000
N1 N 0.5000 0.5000 0.0000
# Formation energy (no corrections) in eV per atom: -0.69
# Final energy in eV per atom: -7.659
# Total moment in μB per atom: 0.000
# Crystal system: tetragonal